Entry from Alexandria via LeMat-Bulk: an optimized crystal structure of Sm7Dy12Tm (PBE).

Summary:
The total moment is 0.000 μB/atom. Its formation energy from the elements is 0.665 eV per atom.

abc: 9.7653 9.7653 9.7653
angles: 109.47 109.47 109.47
Positions (direct):
Sm 0.0000 0.0000 0.5000
Sm 0.0000 0.5000 0.0000
Sm 0.0000 0.5000 0.5000
Sm 0.5000 0.0000 0.0000
Sm 0.5000 0.0000 0.5000
Sm 0.5000 0.5000 0.0000
Sm 0.5000 0.5000 0.5000
Dy 0.0000 0.2464 0.7536
Dy 0.0000 0.7536 0.2464
Dy 0.2464 0.0000 0.7536
Dy 0.2464 0.2464 0.4928
Dy 0.2464 0.4928 0.2464
Dy 0.2464 0.7536 0.0000
Dy 0.4928 0.2464 0.2464
Dy 0.5072 0.7536 0.7536
Dy 0.7536 0.0000 0.2464
Dy 0.7536 0.2464 0.0000
Dy 0.7536 0.5072 0.7536
Dy 0.7536 0.7536 0.5072
Tm 0.0000 0.0000 0.0000